No. 1
First-principles (GGA-PBE) data for an optimized crystal structure of ErTmCd, as listed in OQMD.

abc: 7.1677 7.1677 7.1677
angles: 90.00 90.00 90.00
Space group F-43m (No. 216)
Symmetry-distinct sites (fractional):
Er 0.0000 0.0000 0.0000
Tm 0.2500 0.2500 0.7500
Cd 0.0000 0.0000 0.5000

DFT formation energy: 0.53 eV per atom
Energy above the lowest structure with this stoichiometry: 0.000 eV/atom
Crystal system: cubic

No. 2
First-principles (GGA-PBE) data for an optimized crystal structure of SrZrNO, as listed in OQMD.

abc: 4.3316 4.3316 9.2511
angles: 90.00 90.00 90.00
Space group P4/nmm (No. 129, origin choice 2)
Symmetry-distinct sites (fractional):
Sr 0.2500 0.2500 0.1036
Zr 0.2500 0.7500 0.5000
N 0.2500 0.2500 0.5407
O 0.2500 0.7500 0.0000

Energy above the lowest structure with this stoichiometry: 0.405 eV/atom
Crystal system: tetragonal

No. 3
First-principles (GGA-PBE) data for an optimized crystal structure of CdFe2B, as listed in OQMD.

abc: 5.8282 5.8282 5.8282
angles: 90.00 90.00 90.00
Space group F-43m (No. 216)
Symmetry-distinct sites (fractional):
Cd 0.0000 0.0000 0.0000
Fe 0.0000 0.0000 0.5000
Fe 0.2500 0.2500 0.7500
B 0.2500 0.2500 0.2500

Energy: -84.35 eV for the cell shown
Crystal system: cubic

Number 1: M_tot 0.001 μB/atom. Number 2: M_tot 0.006 μB/atom. Number 3: M_tot 1.158 μB/atom.